Record 1
# PmHo4Se6

An optimized crystal structure of PmHo4Se6 (PBE, the Alexandria database). Values from VASP.

Properties
Raw total energy ... -5.8182 eV/atom
Density ... 7.7 g cm⁻³
Formation energy without anion corrections ... -1.821 eV/atom
DOS(E_F) ... 5.71 states/eV/cell

The structure in Quantum ESPRESSO input format:
```
&SYSTEM
  ibrav = 0, nat = 22, ntyp = 3
/
ATOMIC_SPECIES
Pm 145.00 Pm.upf
Ho 164.93 Ho.upf
Se 78.96 Se.upf
ATOMIC_POSITIONS crystal
Pm 0.153 0.847 0.750
Pm 0.847 0.153 0.250
Ho 0.090 0.910 0.126
Ho 0.090 0.910 0.374
Ho 0.360 0.640 0.038
Ho 0.360 0.640 0.462
Ho 0.640 0.360 0.538
Ho 0.640 0.360 0.962
Ho 0.910 0.090 0.626
Ho 0.910 0.090 0.874
Se 0.000 0.000 0.000
Se 0.000 0.000 0.500
Se 0.184 0.816 0.250
Se 0.268 0.732 0.590
Se 0.268 0.732 0.910
Se 0.450 0.550 0.165
Se 0.450 0.550 0.335
Se 0.550 0.450 0.665
Se 0.550 0.450 0.835
Se 0.732 0.268 0.090
Se 0.732 0.268 0.410
Se 0.816 0.184 0.750
CELL_PARAMETERS angstrom
2.005 -6.670 0.000
2.005 6.670 0.000
0.000 0.000 20.737
```

=====

Record 2
# PmHo2Se4

An optimized crystal structure of PmHo2Se4 (PBE, the Alexandria database). Values from VASP.

Properties
Raw total energy ... -5.8613 eV/atom
Density ... 6.7 g cm⁻³
Formation energy without anion corrections ... -1.884 eV/atom
Polymorph energy (0 for the lowest one) ... 0.0 meV/atom
DOS(E_F) ... 2.54 states/eV/cell

The structure in Quantum ESPRESSO input format:
```
&SYSTEM
  ibrav = 0, nat = 7, ntyp = 3
/
ATOMIC_SPECIES
Pm 145.00 Pm.upf
Ho 164.93 Ho.upf
Se 78.96 Se.upf
ATOMIC_POSITIONS crystal
Pm 0.000 0.000 0.000
Ho 0.000 0.500 0.500
Ho 0.500 0.000 0.500
Se 0.245 0.000 0.738
Se 0.260 0.500 0.254
Se 0.740 0.500 0.746
Se 0.755 0.000 0.262
CELL_PARAMETERS angstrom
7.016 0.000 0.000
0.000 4.098 0.000
-2.229 0.000 6.790
```